Arrangement 1

Sm3Dy2Cd3 | PBE-GGA | optimized geometry

Lattice parameters (Å, degrees): 8.7540 8.7540 3.4012 90.00 90.00 120.00
With the nearest neighbours (Å) after each atom.
Fractional positions:
Sm 0.0000 0.2372 0.0000  4 Sm 3.40-3.60, 6 Cd 3.41-3.71, 2 Dy 3.42
Sm 0.2372 0.0000 0.0000  4 Sm 3.40-3.60, 6 Cd 3.41-3.71, 2 Dy 3.42
Sm 0.7628 0.7628 0.0000  4 Sm 3.40-3.60, 6 Cd 3.41-3.71, 2 Dy 3.42
Dy 0.3333 0.6667 0.0000  6 Cd 3.20, 2 Dy 3.40, 3 Sm 3.42
Dy 0.6667 0.3333 0.0000  6 Cd 3.20, 2 Dy 3.40, 3 Sm 3.42
Cd 0.0000 0.6134 0.5000  4 Dy 3.20, 2 Cd 3.40, 4 Sm 3.41
Cd 0.3866 0.3866 0.5000  4 Dy 3.20, 2 Cd 3.40, 4 Sm 3.41
Cd 0.6134 0.0000 0.5000  4 Dy 3.20, 2 Cd 3.40, 4 Sm 3.41

## Properties
DOS at the Fermi energy = 10.4 states/eV per cell
symmetry = P-62m (189)
total magnetization = 0.918 Bohr magnetons per cell

---

Arrangement 2

Sm3Dy2Cd3 | PBE-GGA | optimized geometry

Lattice parameters (Å, degrees): 11.6799 11.6799 11.6799 161.47 153.01 32.94
With the nearest neighbours (Å) after each atom.
Fractional positions:
Sm 0.0000 0.0000 0.0000  8 Cd 3.27-3.31
Sm 0.3765 0.8765 0.5000  6 Cd 3.31-3.35, 4 Dy 3.69-3.70
Sm 0.6235 0.1235 0.5000  6 Cd 3.31-3.35, 4 Dy 3.69-3.70
Dy 0.2344 0.2344 0.0000  2 Cd 3.19, 4 Dy 3.38
Dy 0.7656 0.7656 0.0000  2 Cd 3.19, 4 Dy 3.38
Cd 0.1193 0.6193 0.5000  2 Dy 3.19, 6 Sm 3.27-3.31
Cd 0.5000 0.5000 0.0000  8 Sm 3.31-3.35
Cd 0.8807 0.3807 0.5000  2 Dy 3.19, 6 Sm 3.27-3.31

## Properties
DOS at the Fermi energy = 10.8 states/eV per cell
symmetry = Immm (71)
total magnetization = 0.000 Bohr magnetons per cell

---

Energy ordering: arrangement 2 at the bottom, the next structure 95 meV per atom above.